1.
Compound: Mg2Sc2CdAg2Au
Source: OQMD via LeMat-Bulk
Functional: PBE
Structure: relaxed

a b c (Å): 4.7896 4.7896 6.8135
angles (deg): 90.00 90.00 90.00
Last column: nearest neighbours and their distance in Å.
Positions (direct):
Ag 0.0000 0.0000 0.0000  4 Mg 2.97, 4 Sc 2.99
Ag 0.5000 0.5000 0.5000  4 Sc 2.89, 4 Mg 2.91
Au 0.0000 0.0000 0.5000  4 Sc 2.89, 4 Mg 2.91
Cd 0.5000 0.5000 0.0000  4 Mg 2.97, 4 Sc 2.99
Mg 0.0000 0.5000 0.2568  4 Ag 2.91-2.97, 2 Au 2.91, 2 Cd 2.97
Mg 0.5000 0.0000 0.7432  2 Au 2.91, 4 Ag 2.91-2.97, 2 Cd 2.97
Sc 0.5000 0.0000 0.2626  4 Ag 2.89-2.99, 2 Au 2.89, 2 Cd 2.99
Sc 0.0000 0.5000 0.7374  2 Au 2.89, 4 Ag 2.89-2.99, 2 Cd 2.99

Computed properties:
VASP energy: -28.84 eV per cell
symmetry: P-4m2, No. 115

2.
Compound: MgSc2Cd2AgAu2
Source: OQMD via LeMat-Bulk
Functional: PBE
Structure: relaxed

a b c (Å): 4.7903 4.7903 6.7684
angles (deg): 90.00 90.00 90.00
Last column: nearest neighbours and their distance in Å.
Positions (direct):
Ag 0.0000 0.0000 0.5000  4 Sc 2.88, 4 Cd 2.94
Au 0.0000 0.0000 0.0000  4 Cd 2.93, 4 Sc 2.99
Au 0.5000 0.5000 0.5000  4 Sc 2.88, 4 Cd 2.94
Cd 0.5000 0.0000 0.2483  2 Mg 2.93, 4 Au 2.93-2.94, 2 Ag 2.94
Cd 0.0000 0.5000 0.7517  2 Mg 2.93, 4 Au 2.93-2.94, 2 Ag 2.94
Mg 0.5000 0.5000 0.0000  4 Cd 2.93, 4 Sc 2.99
Sc 0.0000 0.5000 0.2647  2 Ag 2.88, 4 Au 2.88-2.99, 2 Mg 2.99
Sc 0.5000 0.0000 0.7353  2 Ag 2.88, 4 Au 2.88-2.99, 2 Mg 2.99

Computed properties:
VASP energy: -28.77 eV per cell
symmetry: P-4m2, No. 115

3.
Compound: Nd3Cd3AgAu2
Source: OQMD via LeMat-Bulk
Functional: PBE
Structure: relaxed

a b c (Å): 7.9841 7.9841 3.9786
angles (deg): 90.00 90.00 120.00
Last column: nearest neighbours and their distance in Å.
Positions (direct):
Ag 0.0000 0.0000 0.0000  6 Cd 2.87
Au 0.6667 0.3333 0.5000  3 Cd 3.01, 6 Nd 3.13
Au 0.3333 0.6667 0.5000  3 Cd 3.01, 6 Nd 3.13
Cd 0.2583 0.0000 0.5000  2 Ag 2.87, 2 Au 3.01
Cd 0.0000 0.2583 0.5000  2 Ag 2.87, 2 Au 3.01
Cd 0.7417 0.7417 0.5000  2 Ag 2.87, 2 Au 3.01
Nd 0.5915 0.0000 0.0000  4 Au 3.13, 1 Ag 3.26, 6 Cd 3.32-3.48
Nd 0.4085 0.4085 0.0000  4 Au 3.13, 1 Ag 3.26, 6 Cd 3.32-3.48
Nd 0.0000 0.5915 0.0000  4 Au 3.13, 1 Ag 3.26, 6 Cd 3.32-3.48

Computed properties:
formation enthalpy at 0 K: -0.57 eV/atom
symmetry: P-62m, No. 189